First-principles (SCAN) data for a crystal of TiCdGe3 relaxed with PBEsol, as listed in the Alexandria database.

Output
As for the volume: 23.164 Å³/atom. For the theoretical density, the calculation gives 5.4 g/cm3. The total energy comes out at -20.3940 eV per atom. As for the space group: Pm-3m, No. 221. The total magnetization is 0.00 μB/cell. The value obtained for the formation energy is 1.7 eV/f.u.

Cell lengths 4.8745, 4.8745, 4.8745 Å; angles 90.00, 90.00, 90.00 degrees
Last column: nearest neighbours and their distance in Å.
Atoms (fractional coordinates):
Ti (0.0000, 0.0000, 0.0000)  6 Ge 2.44
Cd (0.5000, 0.5000, 0.5000)  12 Ge 3.45
Ge (0.0000, 0.0000, 0.5000)  2 Ti 2.44
Ge (0.0000, 0.5000, 0.0000)  2 Ti 2.44
Ge (0.5000, 0.0000, 0.0000)  2 Ti 2.44